# LaTmRh2

LaTmRh2 after structural relaxation (PBE, the Alexandria database).

a b c (Å): 3.4298 3.4298 7.1853
angles (deg): 90.00 90.00 90.00
Fractional positions:
Tm  0.5000  0.5000  0.0000
Rh  0.0000  0.0000  0.7723
Rh  0.0000  0.0000  0.2277
La  0.5000  0.5000  0.5000

Values from the calculation:
The value obtained for the electronic total energy is -6.81 eV per atom. The calculation puts the formation energy at -780 meV per atom. As for the density: 10.1 Mg/m³. The calculated volume is 21.13 Å³/atom.